Record 1
Compound: RbMgVO3
Source: the Alexandria database
Functional: PBE with a Hubbard U
Structure: optimized geometry

Calculated values
uncorrected energy = -6.1659 eV per atom

a = 5.6589 Å, b = 10.4933 Å, c = 5.6186 Å
α = 90.00°, β = 90.00°, γ = 90.00°
With the nearest neighbours (Å) after each atom.
Space group Cmcm (No. 63)
Inequivalent atoms, fractional coordinates:
Rb: 0.0000 0.2464 0.2500 x4  4 O 2.81-2.83
Mg: 0.0000 0.0671 0.7500 x4  5 O 2.00-2.13
V: 0.0000 0.4383 0.7500 x4  5 O 1.89-2.08
O: 0.0000 0.2581 0.7500 x4  1 V 1.89, 1 Mg 2.00
O: 0.2467 0.5000 0.0000 x8  2 V 2.08, 2 Mg 2.13


Record 2
Compound: Rb2MgV2O6
Source: the Alexandria database
Functional: PBE with a Hubbard U
Structure: optimized geometry

Calculated values
density of states at the Fermi level = 0.000 states/eV/atom
uncorrected energy = -6.3395 eV per atom

a = 5.9788 Å, b = 5.9788 Å, c = 17.3985 Å
α = 90.00°, β = 90.00°, γ = 120.00°
With the nearest neighbours (Å) after each atom.
Space group R-3m (No. 166, hexagonal axes)
Inequivalent atoms, fractional coordinates:
Rb: 0.0000 0.0000 0.2186 x6  9 O 3.08-3.11
Mg: 0.0000 0.0000 0.0000 x3  6 O 2.15
V: 0.0000 0.0000 0.4230 x6  3 O 1.72
O: 0.0064 0.5032 0.2620 x18  1 V 1.72


Record 3
Compound: RbMg6WO8
Source: the Alexandria database
Functional: PBE with a Hubbard U
Structure: optimized geometry

Calculated values
density of states at the Fermi level = 0.156 states/eV/atom
uncorrected energy = -5.5498 eV per atom

a = 4.5680 Å, b = 4.5680 Å, c = 9.0598 Å
α = 90.00°, β = 90.00°, γ = 90.00°
With the nearest neighbours (Å) after each atom.
Space group P4/mmm (No. 123)
Inequivalent atoms, fractional coordinates:
Rb: 0.0000 0.0000 0.0000 x1  6 O 2.28-2.46
Mg: 0.0000 0.5000 0.2364 x4  6 O 2.14-2.39
Mg: 0.5000 0.5000 0.0000 x1  6 O 2.28-2.29
Mg: 0.5000 0.5000 0.5000 x1  6 O 2.24-2.28
W: 0.0000 0.0000 0.5000 x1  6 O 2.07-2.28
O: 0.0000 0.0000 0.2710 x2  1 W 2.07, 4 Mg 2.31
O: 0.0000 0.5000 0.0000 x2  4 Mg 2.14-2.28, 2 Rb 2.28
O: 0.0000 0.5000 0.5000 x2  4 Mg 2.28-2.39, 2 W 2.28
O: 0.5000 0.5000 0.2531 x2  6 Mg 2.24-2.29


Record 4
Compound: RbMg6WO8
Source: the Alexandria database
Functional: PBE with a Hubbard U
Structure: optimized geometry

Calculated values
density of states at the Fermi level = 0.018 states/eV/atom
uncorrected energy = -5.5984 eV per atom

a = 4.5793 Å, b = 4.5793 Å, c = 8.8746 Å
α = 90.00°, β = 90.00°, γ = 90.00°
With the nearest neighbours (Å) after each atom.
Space group P4/mmm (No. 123)
Inequivalent atoms, fractional coordinates:
Rb: 0.0000 0.0000 0.0000 x1  6 O 2.29-2.51
Mg: 0.0000 0.0000 0.5000 x1  2 O 1.93
Mg: 0.0000 0.5000 0.2641 x4  6 O 2.09-2.34
Mg: 0.5000 0.5000 0.5000 x1  6 O 2.19-2.29
W: 0.5000 0.5000 0.0000 x1  6 O 2.24-2.29
O: 0.0000 0.0000 0.2827 x2  1 Mg 1.93
O: 0.0000 0.5000 0.0000 x2  2 W 2.29, 2 Rb 2.29, 2 Mg 2.34
O: 0.0000 0.5000 0.5000 x2  6 Mg 2.09-2.29
O: 0.5000 0.5000 0.2527 x2  5 Mg 2.19-2.29, 1 W 2.24


Record 5
Compound: Rb2MgWO6
Source: the Alexandria database
Functional: PBE with a Hubbard U
Structure: optimized geometry

Calculated values
density of states at the Fermi level = 0.478 states/eV/atom
uncorrected energy = -5.8010 eV per atom

a = 8.3075 Å, b = 8.3075 Å, c = 8.3075 Å
α = 90.00°, β = 90.00°, γ = 90.00°
With the nearest neighbours (Å) after each atom.
Space group Fm-3m (No. 225)
Inequivalent atoms, fractional coordinates:
Rb: 0.2500 0.2500 0.2500 x8  12 O 2.94
Mg: 0.0000 0.0000 0.0000 x4  6 O 2.20
W: 0.0000 0.0000 0.5000 x4  6 O 1.96
O: 0.0000 0.0000 0.2645 x24  1 W 1.96


Record 6
Compound: Rb2MgW3O12
Source: the Alexandria database
Functional: PBE with a Hubbard U
Structure: optimized geometry

Calculated values
density of states at the Fermi level = 0.685 states/eV/atom
uncorrected energy = -6.5972 eV per atom

a = 7.4535 Å, b = 7.4535 Å, c = 18.0655 Å
α = 90.00°, β = 90.00°, γ = 120.00°
With the nearest neighbours (Å) after each atom.
Space group R-3m (No. 166, hexagonal axes)
Inequivalent atoms, fractional coordinates:
Rb: 0.0000 0.0000 0.1338 x6  6 O 3.11-3.42
Mg: 0.0000 0.0000 0.5000 x3  6 O 2.09
W: 0.0000 0.5000 0.0000 x9  6 O 1.90-1.96
O: 0.0648 0.5324 0.1023 x18  1 W 1.90, 1 Mg 2.09
O: 0.0846 0.5423 0.3506 x18  2 W 1.96